(1)
A geometry-optimized Na2CuSi3Pt4 structure, computed with GGA-PBE.

```
10
Lattice="4.155 0.000 0.000 0.000 4.155 0.000 0.000 0.000 10.037" Properties=species:S:1:pos:R:3 pbc="T T T"
Na 2.078 0.000 2.588
Na 0.000 2.078 7.449
Cu 2.078 2.078 5.019
Si 0.000 0.000 5.019
Si 2.078 0.000 8.731
Si 0.000 2.078 1.306
Pt 2.078 2.078 0.000
Pt 0.000 0.000 0.000
Pt 2.078 0.000 6.399
Pt 0.000 2.078 3.638
```

Output
E_form (uncorrected): -12.62 kcal/mol of atoms
Crystal system: tetragonal
Magnetic moment: 0.000 μB per atom
ρ: 9.3 g/cm³
Calculated total energy: -0.38688 Ry/atom



(2)
A geometry-optimized NaCdSi2Tc structure, computed with GGA-PBE.

```
5
Lattice="-2.541 3.879 0.164 -3.688 -2.351 -1.548 -1.390 -1.122 5.016" Properties=species:S:1:pos:R:3 pbc="T T T"
Na -3.810 0.203 1.816
Si -1.844 -1.176 -0.774
Si -1.270 1.939 0.082
Tc 0.000 0.000 0.000
Cd -0.695 -0.561 2.508
```

Output
E_form (uncorrected): 1.86 kcal/mol of atoms
Crystal system: tetragonal
Magnetic moment: 0.000 μB per atom
ρ: 4.2 g/cm³
Calculated total energy: -0.33873 Ry/atom



(3)
A geometry-optimized V2Ni5Ir structure, computed with GGA-PBE.

```
16
Lattice="-3.543 -0.008 -0.506 -0.489 -3.755 3.485 -1.073 7.024 7.416" Properties=species:S:1:pos:R:3 pbc="T T T"
V -2.566 3.467 5.262
V -2.540 -0.206 5.134
V -2.031 -0.057 1.566
V -3.075 3.319 8.830
Ni 0.000 0.000 0.000
Ni -0.781 1.635 5.451
Ni -1.042 3.431 7.253
Ni -0.520 -0.162 3.648
Ni -0.273 1.701 1.891
Ni -1.289 1.568 9.011
Ni -2.822 5.221 7.032
Ni -2.283 -1.960 3.364
Ni -2.298 1.614 3.412
Ni -2.808 1.647 6.984
Ir -0.537 3.512 3.708
Ir -0.245 -1.877 1.743
```

Output
Crystal system: orthorhombic
Magnetic moment: 0.139 μB per atom
ρ: 10.3 g/cm³
Calculated total energy: -0.53280 Ry/atom
ΔE_f: -0.25 eV per atom



(4)
A geometry-optimized CaInN2 structure, computed with GGA-PBE.

```
8
Lattice="-1.870 -4.181 -3.715 5.371 -0.249 -2.423 2.740 -4.847 -0.605" Properties=species:S:1:pos:R:3 pbc="T T T"
Ca 1.750 -2.215 -3.069
Ca 4.930 -3.656 -3.049
N 0.131 -3.983 -2.888
N 3.864 -1.764 -2.018
N 3.205 -5.289 -2.682
N 5.280 -7.520 -5.898
In 0.000 0.000 0.000
In 1.310 -5.622 -3.694
```

Output
E_form (uncorrected): 0.08 kcal/mol of atoms
Crystal system: tetragonal
Magnetic moment: 0.250 μB per atom
ρ: 4.7 g/cm³
Calculated total energy: -0.39281 Ry/atom



(5)
A geometry-optimized HfAlIN2 structure, computed with GGA-PBE.

```
5
Lattice="3.958 0.000 0.000 0.000 3.958 0.000 0.000 0.000 5.143" Properties=species:S:1:pos:R:3 pbc="T T T"
I 0.000 0.000 2.571
Hf 1.979 1.979 2.571
Al 0.000 0.000 0.000
N 0.000 1.979 0.000
N 1.979 0.000 0.000
```

Output
E_form (uncorrected): 19.67 kcal/mol of atoms
Crystal system: tetragonal
Magnetic moment: 0.000 μB per atom
ρ: 7.4 g/cm³
Calculated total energy: -0.40619 Ry/atom
ΔE to the lowest computed polymorph: 483.6 meV/atom



(6)
A geometry-optimized Na2MgInPd structure, computed with GGA-PBE.

```
5
Lattice="-4.821 -0.616 2.742 -2.297 -0.559 -4.165 0.856 -5.508 0.268" Properties=species:S:1:pos:R:3 pbc="T T T"
Na 0.428 -2.754 0.134
Na -2.410 -0.308 1.371
Mg 0.000 0.000 0.000
Pd -1.149 -0.280 -2.082
In -3.131 -3.341 -0.578
```

Output
Crystal system: tetragonal
Magnetic moment: 0.000 μB per atom
ρ: 3.2 g/cm³
Calculated total energy: -0.15641 Ry/atom
ΔE_f: 0.30 eV per atom



(7)
A geometry-optimized CsTl2N structure, computed with GGA-PBE.

```
4
Lattice="0.000 3.905 3.905 3.905 0.000 3.905 3.905 3.905 0.000" Properties=species:S:1:pos:R:3 pbc="T T T"
Cs 3.905 3.905 3.905
Tl 1.952 1.952 1.952
Tl 5.857 5.857 5.857
N 0.000 0.000 0.000
```

Output
E_form (uncorrected): 24.89 kcal/mol of atoms
Crystal system: cubic
Magnetic moment: 0.000 μB per atom
ρ: 7.7 g/cm³
Calculated total energy: -0.17630 Ry/atom
ΔE to the lowest computed polymorph: 561.4 meV/atom



(8)
A geometry-optimized CaGaSeN2 structure, computed with GGA-PBE.

```
5
Lattice="4.598 0.000 0.000 0.000 4.598 0.000 0.000 0.000 5.834" Properties=species:S:1:pos:R:3 pbc="T T T"
Ca 0.000 0.000 0.000
Ga 2.299 2.299 2.917
Se 0.000 0.000 2.917
N 0.000 2.299 0.000
N 2.299 0.000 0.000
```

Output
E_form (uncorrected): 25.88 kcal/mol of atoms
Crystal system: tetragonal
Magnetic moment: 0.891 μB per atom
ρ: 2.9 g/cm³
Calculated total energy: -0.28743 Ry/atom
ΔE to the lowest computed polymorph: 782.3 meV/atom